ScAsW2: optimized geometry, PBE-GGA.

energy: -8.964 eV/atom
energy of formation from the pure elements: 1.03 eV per formula unit

The structure in extended XYZ format:
```
4
Lattice="-0.0342 -1.7345 -2.9021 2.4575 -2.0059 1.1700 -4.0951 -3.6993 2.2593" Properties=species:S:1:pos:R:3 pbc="T T T"
W -1.9066 -1.7223 1.0519
W -0.1409 -0.1273 0.0777
Sc -1.8597 -4.6447 0.8284
As 0.1879 -2.7951 -0.3012
```